GGA-PBE RbIn2Ag, relaxed; V = 140 Å³/f.u.; ΔE_f = -0.2 eV/f.u.; total magnetization = 0.00 μB per cell; density = 5.02 Mg/m³
1.0
-1.276 -1.346 4.548
3.467 -0.843 3.375
0.503 5.700 4.481
Rb Ag In
1 1 2
Cartesian
1.347 1.755 6.202 Rb
0.000 0.000 0.000 Ag
1.985 3.637 9.590 In
0.709 -0.127 2.814 In

***

GGA-PBE Mg2GeBr, relaxed; V = 88 Å³/f.u.; total magnetization = 0.00 μB per cell; raw formation energy = -5 kJ/mol of atoms; relative energy among the computed polymorphs = 228 meV/atom; density = 3.79 Mg/m³
1.0
0.000 3.533 3.533
3.533 0.000 3.533
3.533 3.533 0.000
Mg Br Ge
2 1 1
Cartesian
1.766 1.766 1.766 Mg
5.299 5.299 5.299 Mg
3.533 3.533 3.533 Br
0.000 0.000 0.000 Ge

***

GGA-PBE Hg4AuI4, relaxed; V = 362 Å³/f.u.; total magnetization = 0.00 μB per cell; raw formation energy = -9 kJ/mol of atoms; density = 6.91 Mg/m³
1.0
4.519 0.000 0.000
0.000 12.662 0.000
0.000 0.000 12.662
Hg I Au
8 8 2
Cartesian
0.003 1.613 2.142 Hg
4.517 10.520 1.613 Hg
2.257 7.944 8.472 Hg
2.262 4.189 7.944 Hg
2.257 4.718 4.189 Hg
0.003 11.048 10.520 Hg
4.517 2.142 11.049 Hg
2.262 8.472 4.718 Hg
4.518 7.957 10.516 I
2.258 8.476 1.626 I
0.001 10.516 4.705 I
0.001 2.146 7.957 I
2.258 4.185 11.035 I
2.261 1.626 4.185 I
2.261 11.035 8.476 I
4.518 4.705 2.146 I
2.260 6.331 6.331 Au
0.000 0.000 0.000 Au

***

GGA-PBE CeH2N, relaxed; V = 70 Å³/f.u.; DFT total energy = -5.241 eV per atom; total magnetization = 0.81 μB per cell; density = 3.69 Mg/m³
1.0
-4.022 -0.930 -0.135
0.507 -1.650 -3.752
0.788 -3.657 1.715
H N Ce
2 1 1
Cartesian
0.075 -0.346 0.162 H
0.714 -3.312 1.553 H
-1.363 -3.119 -1.086 N
-1.757 -1.290 -1.943 Ce

***

GGA-PBE Th2AgSn4, relaxed; V = 197 Å³/f.u.; ΔE_f = -2.5 eV/f.u.; total magnetization = 0.00 μB per cell; density = 8.83 Mg/m³
1.0
-0.349 -0.405 4.498
1.082 -4.387 -0.311
9.293 2.228 0.921
Sn Ag Th
4 1 2
Cartesian
4.646 1.114 0.460 Sn
8.189 -0.360 0.602 Sn
1.471 0.192 2.412 Sn
5.013 -1.282 2.554 Sn
0.367 -2.396 2.093 Ag
2.724 -1.670 0.061 Th
6.936 1.502 2.953 Th

***

GGA-PBE Sc2Cu2Ni, relaxed; V = 88 Å³/f.u.; ΔE_f = 0.1 eV/f.u.; total magnetization = 0.00 μB per cell; density = 5.23 Mg/m³
1.0
-2.401 -4.217 -1.186
-0.747 -0.938 4.849
-4.605 -0.816 1.706
Ni Sc Cu
1 2 2
Cartesian
0.000 0.000 0.000 Ni
-3.463 -2.166 4.193 Sc
-4.290 -3.805 1.176 Sc
-5.230 -3.945 3.577 Cu
-2.522 -2.026 1.792 Cu